Here is a relaxed structure of As2BrCl from the Alexandria database. Energies are from PBE.

a = 5.332 Å, b = 5.332 Å, c = 5.332 Å
α = 130.73°, β = 130.73°, γ = 72.24°
Atoms (fractional coordinates):
As: 0.250 0.750 0.500
As: 0.750 0.250 0.500
Br: 0.000 0.000 0.000
Cl: 0.500 0.500 0.000

Output
The space group is I4/mmm, No. 139. As for the distance to the lowest polymorph of the same formula: 0.900 eV per atom. For the uncorrected energy, the calculation gives -0.0965 hartree per atom. The crystal system is tetragonal. Its magnetization is 0.0 μB/f.u. The value obtained for the energy relative to the elements, uncorrected is 579 meV per atom.